[1]
Material: AgGe
Method: DFT, PBE
State: relaxed

Geometry as POSCAR:
```
AgGe
1.0
2.6774 -1.5795 0.0000
2.6774 1.5795 0.0000
-1.6734 0.0000 4.3638
Ag Ge
1 1
Direct
0.0000 0.0000 0.0000
0.5000 0.5000 0.5000
```

Values from the calculation:
* symmetry: C2/m, No. 12
* spin magnetization: 0.00 Bohr magnetons per cell
* formation enthalpy at 0 K: 0.18 eV per atom

=====

[2]
Material: AgGe3H
Method: DFT, PBE
State: relaxed

Geometry as POSCAR:
```
AgGe3H
1.0
4.3211 0.0000 0.0000
0.0000 4.3211 0.0000
0.0000 0.0000 4.3211
Ag Ge H
1 3 1
Direct
0.0000 0.0000 0.0000
0.0000 0.5000 0.5000
0.5000 0.0000 0.5000
0.5000 0.5000 0.0000
0.5000 0.5000 0.5000
```

Values from the calculation:
* symmetry: Pm-3m, No. 221
* final energy: -17.91 eV/cell
* spin magnetization: 0.00 Bohr magnetons per cell

=====

[3]
Material: Ag2GeH2
Method: DFT, PBE
State: relaxed

Geometry as POSCAR:
```
Ag2GeH2
1.0
-1.5897 1.5897 6.3508
1.5897 -1.5897 6.3508
1.5897 1.5897 -6.3508
Ag Ge H
2 1 2
Direct
0.1538 0.1538 0.0000
0.8462 0.8462 0.0000
0.5000 0.5000 0.0000
0.2500 0.7500 0.5000
0.7500 0.2500 0.5000
```

Values from the calculation:
* symmetry: I4/mmm, No. 139
* final energy: -14.92 eV/cell
* spin magnetization: 0.00 Bohr magnetons per cell